Computed, not measured: crystalline GdZrTlIn at its relaxed geometry at the GGA-PBE level of DFT.

Computed properties:
For the density of states at the Fermi level, the calculation gives 4.609 states/eV/f.u. The value obtained for the calculated volume is 25.1 Å³ per atom. As for the energy of formation: -0.183 eV per atom.

Cell and atoms, written as CIF:
```
data_GdZrTlIn
_chemical_formula_sum 'Gd4 Zr4 Tl4 In4'
_space_group_name_H-M_alt 'F -4 3 m'
_space_group_IT_number 216
_space_group_name_Hall 'F -4 2 3'
_cell_length_a 7.377
_cell_length_b 7.377
_cell_length_c 7.377
_cell_angle_alpha 90.00
_cell_angle_beta 90.00
_cell_angle_gamma 90.00
loop_
_atom_site_label
_atom_site_type_symbol
_atom_site_fract_x
_atom_site_fract_y
_atom_site_fract_z
Gd1 Gd 0.000 0.000 0.000
Zr1 Zr 0.000 0.000 0.500
Tl1 Tl 0.250 0.250 0.750
In1 In 0.250 0.250 0.250
```